This record from Alexandria via LeMat-Bulk describes crystalline CeIn2P2Pd7 at its relaxed geometry. The functional is PBE-GGA.

```
data_CeIn2P2Pd7
_cell_length_a 4.0802
_cell_length_b 4.0802
_cell_length_c 13.7397
_cell_angle_alpha 80.80
_cell_angle_beta 80.80
_cell_angle_gamma 90.01
_symmetry_space_group_name_H-M 'P 1'
_symmetry_Int_Tables_number 1
_symmetry_space_group_name_Hall 'P 1'
loop_
_atom_site_label
_atom_site_type_symbol
_atom_site_fract_x
_atom_site_fract_y
_atom_site_fract_z
_atom_site_occupancy
Pd1 Pd 0.5000 0.5000 0.0000 1
Pd2 Pd 0.3716 0.3716 0.4251 1
Pd3 Pd 0.4072 0.9131 0.1625 1
Pd4 Pd 0.0869 0.5928 0.8375 1
Pd5 Pd 0.6284 0.6284 0.5749 1
Pd6 Pd 0.9131 0.4072 0.1625 1
Pd7 Pd 0.5928 0.0869 0.8375 1
In1 In 0.1086 0.1086 0.6189 1
In2 In 0.8914 0.8914 0.3811 1
Ce1 Ce 0.0000 0.0000 0.0000 1
P1 P 0.6314 0.6314 0.7434 1
P2 P 0.3686 0.3686 0.2566 1
```

Values from the calculation:
The formation energy comes out at -0.47 eV per atom.



This record from Alexandria via LeMat-Bulk describes crystalline TlCO3 at its relaxed geometry. The functional is PBE-GGA.

```
data_TlCO3
_cell_length_a 3.5439
_cell_length_b 3.5439
_cell_length_c 3.5439
_cell_angle_alpha 90.00
_cell_angle_beta 90.00
_cell_angle_gamma 90.00
_symmetry_space_group_name_H-M 'P 1'
_symmetry_Int_Tables_number 1
_symmetry_space_group_name_Hall 'P 1'
loop_
_atom_site_label
_atom_site_type_symbol
_atom_site_fract_x
_atom_site_fract_y
_atom_site_fract_z
_atom_site_occupancy
O1 O 0.0000 0.5000 0.0000 1
O2 O 0.5000 0.0000 0.0000 1
O3 O 0.0000 0.0000 0.5000 1
Tl1 Tl 0.5000 0.5000 0.5000 1
C1 C 0.0000 0.0000 0.0000 1
```

Values from the calculation:
The value obtained for the raw formation energy is 0.652 eV/atom.



Here are the calculated size of the total moment numbers, same order: 0.0337; 0.0000 (μB per atom).